[1]
This record from Alexandria describes a relaxed structure of MgGa2Pt2. The functional is PBE.

a = 6.363 Å, b = 6.363 Å, c = 4.989 Å
α = 108.36°, β = 108.36°, γ = 84.49°
Fractional positions:
Mg 0.107 0.893 0.750
Mg 0.893 0.107 0.250
Ga 0.168 0.382 0.899
Ga 0.382 0.168 0.399
Ga 0.618 0.832 0.601
Ga 0.832 0.618 0.101
Pt 0.214 0.786 0.250
Pt 0.425 0.575 0.750
Pt 0.575 0.425 0.250
Pt 0.786 0.214 0.750

Calculated values
Total moment in μB/atom: 0.00
Fermi-level density of states in states/eV per cell: 3.9
Calculated formation energy in eV per atom: -0.574
E in eV/cell: -45.2

---

[2]
This record from Alexandria describes a relaxed structure of Ho5ErN6. The functional is PBE.

a = 5.970 Å, b = 5.970 Å, c = 5.969 Å
α = 99.59°, β = 99.59°, γ = 120.01°
Fractional positions:
Ho 0.000 0.000 0.000
Ho 0.167 0.833 0.500
Ho 0.333 0.667 0.000
Ho 0.667 0.333 0.000
Ho 0.833 0.167 0.500
Er 0.500 0.500 0.500
N 0.084 0.417 0.250
N 0.251 0.251 0.749
N 0.417 0.084 0.250
N 0.583 0.916 0.750
N 0.749 0.749 0.251
N 0.916 0.583 0.750

Calculated values
Total moment in μB/atom: 0.00
Fermi-level density of states in states/eV per cell: 0.3
Formation energy (no corrections) in kJ/mol of atoms: -169
E in eV/cell: -98.4

---

[3]
This record from Alexandria describes a relaxed structure of Cs2CdH. The functional is PBE.

a = 7.925 Å, b = 4.577 Å, c = 9.917 Å
α = 90.00°, β = 105.51°, γ = 90.00°
Fractional positions:
Cs 0.000 0.000 0.000
Cs 0.207 0.000 0.621
Cs 0.500 0.500 0.000
Cs 0.707 0.500 0.621
Cd 0.270 0.500 0.311
Cd 0.770 0.000 0.311
H 0.103 0.500 0.810
H 0.603 0.000 0.810

Calculated values
Total moment in μB/atom: 0.00
Fermi-level density of states in states/eV per cell: 6.4
E in eV/cell: -11.9

---

[4]
This record from Alexandria describes a relaxed structure of TbNdCuAg. The functional is PBE.

a = 7.271 Å, b = 7.271 Å, c = 7.271 Å
α = 90.00°, β = 90.00°, γ = 90.00°
Fractional positions:
Tb 0.000 0.000 0.000
Tb 0.000 0.500 0.500
Tb 0.500 0.000 0.500
Tb 0.500 0.500 0.000
Nd 0.000 0.000 0.500
Nd 0.000 0.500 0.000
Nd 0.500 0.000 0.000
Nd 0.500 0.500 0.500
Cu 0.250 0.250 0.250
Cu 0.250 0.750 0.750
Cu 0.750 0.250 0.750
Cu 0.750 0.750 0.250
Ag 0.250 0.250 0.750
Ag 0.250 0.750 0.250
Ag 0.750 0.250 0.250
Ag 0.750 0.750 0.750

Calculated values
Total moment in μB/atom: 0.00
Fermi-level density of states in states/eV per cell: 15.3
Calculated formation energy in eV per atom: -0.208
E in eV/cell: -68.7

---

[5]
This record from Alexandria describes a relaxed structure of Pm4Dy2YSc. The functional is PBE.

a = 5.077 Å, b = 5.077 Å, c = 9.926 Å
α = 90.00°, β = 90.00°, γ = 90.00°
Fractional positions:
Pm 0.000 0.500 0.244
Pm 0.000 0.500 0.756
Pm 0.500 0.000 0.244
Pm 0.500 0.000 0.756
Dy 0.000 0.000 0.000
Dy 0.500 0.500 0.500
Y 0.000 0.000 0.500
Sc 0.500 0.500 0.000

Calculated values
Total moment in μB/atom: 0.00
Fermi-level density of states in states/eV per cell: 11.1
Calculated formation energy in eV per atom: 0.028
E in eV/cell: -40.8

---

[6]
This record from Alexandria describes a relaxed structure of Pr2TmMg6. The functional is PBE.

a = 9.180 Å, b = 9.180 Å, c = 3.336 Å
α = 90.00°, β = 90.00°, γ = 120.00°
Fractional positions:
Pr 0.333 0.667 0.000
Pr 0.667 0.333 0.000
Tm 0.000 0.000 0.000
Mg 0.000 0.328 0.500
Mg 0.000 0.672 0.500
Mg 0.328 0.000 0.500
Mg 0.328 0.328 0.500
Mg 0.672 0.000 0.500
Mg 0.672 0.672 0.500

Calculated values
Total moment in μB/atom: 0.00
Fermi-level density of states in states/eV per cell: 6.4
Calculated formation energy in eV per atom: -0.087
E in eV/cell: -24.4

---

no.,density (Mg/m³)
1,10.11
2,10.29
3,3.63
4,8.20
5,6.74
6,4.07